Compound: CaLaSb2
Source: the Alexandria database
Functional: GGA-PBE
Structure: optimized geometry

space-group type = No. 47
formation energy (no corrections) = -962 meV/atom
polymorph energy (0 for the lowest one) = 12 meV/atom

abc: 4.279 4.877 6.514
angles: 90.00 90.00 90.00
Fractional positions:
Ca  0.000  0.000  0.000
La  0.500  0.500  0.500
Sb  0.000  0.000  0.500
Sb  0.500  0.500  0.000

---

Compound: Ta4VIr5
Source: the Alexandria database
Functional: GGA-PBE
Structure: optimized geometry

space-group type = No. 123
ΔE_f = -404 meV per atom

abc: 3.376 3.376 14.112
angles: 90.00 90.00 90.00
Fractional positions:
Ta  0.000  0.000  0.102
Ta  0.000  0.000  0.310
Ta  0.000  0.000  0.690
Ta  0.000  0.000  0.898
V  0.000  0.000  0.500
Ir  0.500  0.500  0.000
Ir  0.500  0.500  0.201
Ir  0.500  0.500  0.405
Ir  0.500  0.500  0.595
Ir  0.500  0.500  0.799

---

Question: Which formula does entry 1 have?
Answer: CaLaSb2